Entry 1:
# Mn2VAgC PBE optimized geometry
data_Mn2VAgC
_cell_length_a 3.906
_cell_length_b 3.906
_cell_length_c 4.277
_cell_angle_alpha 90.00
_cell_angle_beta 90.00
_cell_angle_gamma 90.00
_space_group_name_H-M_alt 'P 4/m m m'
_space_group_IT_number 123
_space_group_name_Hall '-P 4 2'
loop_
_atom_site_label
_atom_site_type_symbol
_atom_site_fract_x
_atom_site_fract_y
_atom_site_fract_z
Mn1 Mn 0.000 0.500 0.000
V1 V 0.000 0.000 0.500
Ag1 Ag 0.500 0.500 0.500
C1 C 0.500 0.500 0.000
# Formation enthalpy at 0 K = 436 meV per atom
# Size of the total moment = 1.6 μB/f.u.
# DOS at the Fermi energy = 0.71 states/eV per atom

=====

Entry 2:
# Y2MnAgC PBE optimized geometry
data_Y2MnAgC
_cell_length_a 5.032
_cell_length_b 5.032
_cell_length_c 3.791
_cell_angle_alpha 90.00
_cell_angle_beta 90.00
_cell_angle_gamma 90.00
_space_group_name_H-M_alt 'P 4/m m m'
_space_group_IT_number 123
_space_group_name_Hall '-P 4 2'
loop_
_atom_site_label
_atom_site_type_symbol
_atom_site_fract_x
_atom_site_fract_y
_atom_site_fract_z
Y1 Y 0.000 0.500 0.000
Mn1 Mn 0.000 0.000 0.500
Ag1 Ag 0.500 0.500 0.500
C1 C 0.000 0.000 0.000
# Formation enthalpy at 0 K = -264 meV per atom
# Size of the total moment = 1.8 μB/f.u.
# DOS at the Fermi energy = 0.90 states/eV per atom